A.
This record from the Alexandria database describes crystalline MgOsSe at its relaxed geometry. The functional is PBE.

a = 3.0468 Å, b = 5.3511 Å, c = 13.0672 Å
α = 90.00°, β = 90.00°, γ = 90.00°
Space group Fmm2 (No. 42)
Unique sites:
Mg1 0.0000 0.0000 0.0000
Os1 0.0000 0.0000 0.3317
Se1 0.0000 0.0000 0.6849

Values from the calculation:
- D(E_F): 0.910 states/eV per atom

***

B.
This record from the Alexandria database describes crystalline MgOsSe at its relaxed geometry. The functional is PBE.

a = 6.1975 Å, b = 5.3329 Å, c = 7.6749 Å
α = 90.00°, β = 115.97°, γ = 90.00°
Space group P2_1/c (No. 14)
Unique sites:
Mg1 0.1085 0.0821 0.3685
Os1 0.1988 0.5767 0.5426
Se1 0.4325 0.7099 0.3572

Values from the calculation:
- D(E_F): 0.428 states/eV per atom

***

Stability verdict: B, ahead by 519 meV per atom

***

A.
This record from the Alexandria database describes crystalline MgOsSe at its relaxed geometry. The functional is PBE.

a = 3.1426 Å, b = 3.1426 Å, c = 6.1767 Å
α = 90.00°, β = 90.00°, γ = 120.00°
Space group P3m1 (No. 156)
Unique sites:
Mg1 0.0000 0.0000 0.0000
Os1 0.6667 0.3333 0.3382
Se1 0.3333 0.6667 0.6148

Values from the calculation:
- D(E_F): 0.713 states/eV per atom

***

B.
This record from the Alexandria database describes crystalline MgOsSe at its relaxed geometry. The functional is PBE.

a = 6.0836 Å, b = 6.0836 Å, c = 6.0836 Å
α = 90.00°, β = 90.00°, γ = 90.00°
Space group F-43m (No. 216)
Unique sites:
Mg1 0.0000 0.0000 0.0000
Os1 0.2500 0.2500 0.2500
Se1 0.0000 0.0000 0.5000

Values from the calculation:
- D(E_F): 1.297 states/eV per atom

***

Stability verdict: A, ahead by 290 meV per atom

***

A.
This record from the Alexandria database describes crystalline MgSiOs3 at its relaxed geometry. The functional is PBE.

a = 4.4341 Å, b = 4.4341 Å, c = 4.4341 Å
α = 90.00°, β = 90.00°, γ = 90.00°
Space group Pm-3m (No. 221)
Unique sites:
Mg1 0.0000 0.0000 0.0000
Si1 0.5000 0.5000 0.5000
Os1 0.0000 0.0000 0.5000

Values from the calculation:
- D(E_F): 0.810 states/eV per atom

***

B.
This record from the Alexandria database describes crystalline MgSiOs3 at its relaxed geometry. The functional is PBE.

a = 4.4170 Å, b = 4.4170 Å, c = 4.4170 Å
α = 90.00°, β = 90.00°, γ = 90.00°
Space group Pm-3m (No. 221)
Unique sites:
Mg1 0.0000 0.0000 0.0000
Si1 0.5000 0.5000 0.5000
Os1 0.0000 0.5000 0.5000

Values from the calculation:
- D(E_F): 0.924 states/eV per atom

***

Stability verdict: B, ahead by 1532 meV per atom

***

A.
This record from the Alexandria database describes crystalline Sm4MgOs at its relaxed geometry. The functional is PBE.

a = 13.9976 Å, b = 13.9976 Å, c = 13.9976 Å
α = 90.00°, β = 90.00°, γ = 90.00°
Space group F-43m (No. 216)
Unique sites:
Sm1 0.0000 0.0000 0.1891
Sm2 0.0599 0.2500 0.2500
Sm3 0.1561 0.1561 0.6561
Mg1 0.0785 0.0785 0.4215
Os1 0.1382 0.1382 0.8618

Values from the calculation:
- D(E_F): 1.231 states/eV per atom

***

B.
This record from the Alexandria database describes crystalline Sm4MgOs at its relaxed geometry. The functional is PBE.

a = 9.6867 Å, b = 9.6867 Å, c = 9.1765 Å
α = 90.00°, β = 90.00°, γ = 90.00°
Space group I4_1md (No. 109)
Unique sites:
Sm1 0.0000 0.1849 0.0000
Sm2 0.0000 0.2101 0.4349
Mg1 0.0000 0.0000 0.7097
Os1 0.0000 0.0000 0.2218

Values from the calculation:
- D(E_F): 1.179 states/eV per atom

***

Stability verdict: A, ahead by 372 meV per atom